Entry 1:
AlZnCr2: relaxed, PBE-GGA.

Calculated values
SG: Pmmm
raw total energy: -6.025 eV per atom
M_tot: 0.12 μB/cell

abc: 3.1225 4.0510 4.2385
angles: 90.00 90.00 90.00
With the nearest neighbours (Å) after each atom.
Sites, in units of the cell vectors:
Cr 0.0000 0.0000 0.0000  4 Cr 2.56, 4 Zn 2.63
Cr 0.5000 0.5000 0.0000  4 Cr 2.56, 4 Al 2.63
Al 0.0000 0.5000 0.5000  4 Zn 2.56, 4 Cr 2.63
Zn 0.5000 0.0000 0.5000  4 Al 2.56, 4 Cr 2.63

Entry 2:
AlZn2Cr: relaxed, PBE-GGA.

Calculated values
SG: P4/mmm
raw total energy: -3.981 eV per atom
M_tot: 2.10 μB/cell

abc: 3.7927 3.7928 3.9205
angles: 90.00 90.00 90.00
With the nearest neighbours (Å) after each atom.
Sites, in units of the cell vectors:
Cr 0.0000 0.5000 0.5000  4 Al 2.68, 8 Zn 2.73
Zn 0.5000 0.5000 0.0000  4 Zn 2.68, 4 Cr 2.73, 4 Al 2.73
Al 0.5000 0.0000 0.5000  4 Cr 2.68, 8 Zn 2.73
Zn 0.0000 0.0000 0.0000  4 Zn 2.68, 4 Al 2.73, 4 Cr 2.73